--- 1 ---
# LaCo2Br

Crystalline LaCo2Br at its relaxed geometry (PBE-GGA, Alexandria via LeMat-Bulk).

Lattice parameters (Å, degrees): 5.3939 5.3939 5.2977 103.29 103.29 41.41
Last column: nearest neighbours and their distance in Å.
Atoms (fractional coordinates):
Br (0.2500, 0.2500, 0.2500)  2 Co 2.62
Co (0.0370, 0.0370, 0.8490)  2 Co 2.22
Co (0.4630, 0.4630, 0.6510)  2 Co 2.22
La (0.7500, 0.7500, 0.7500)  6 Co 2.81-3.01

Computed properties:
SG: C2/m
calculated density: 5.66 g/cm3
size of the total moment: 2.32 μB/cell

---

--- 2 ---
# LaCo2Br

Crystalline LaCo2Br at its relaxed geometry (PBE-GGA, Alexandria via LeMat-Bulk).

Lattice parameters (Å, degrees): 5.8513 5.8513 5.8513 145.52 133.37 59.26
Last column: nearest neighbours and their distance in Å.
Atoms (fractional coordinates):
Br (0.2500, 0.7500, 0.5000)  4 La 2.89, 4 Co 3.07
Co (0.0014, 0.0014, 0.0000)  4 Co 2.89, 2 Br 3.07, 2 La 3.09
Co (0.4986, 0.4986, 0.0000)  4 Co 2.89, 2 Br 3.07, 2 La 3.09
La (0.7500, 0.2500, 0.5000)  4 Br 2.89, 4 Co 3.09

Computed properties:
SG: Immm
calculated density: 6.84 g/cm3
size of the total moment: 3.03 μB/cell

---

--- 3 ---
# LaCo2Br

Crystalline LaCo2Br at its relaxed geometry (PBE-GGA, Alexandria via LeMat-Bulk).

Lattice parameters (Å, degrees): 3.4168 3.4168 7.8040 90.00 90.00 90.00
Last column: nearest neighbours and their distance in Å.
Atoms (fractional coordinates):
Br (0.5000, 0.5000, 0.7124)  4 La 3.10, 4 Br 3.42
Co (0.0000, 0.0000, 0.1363)  4 Co 2.45, 1 La 2.55
Co (0.5000, 0.5000, 0.1876)  4 Co 2.45
La (0.0000, 0.0000, 0.4636)  1 Co 2.55

Computed properties:
SG: P4mm
calculated density: 6.14 g/cm3
size of the total moment: 2.55 μB/cell

---

--- 4 ---
# LaCo2Br

Crystalline LaCo2Br at its relaxed geometry (PBE-GGA, Alexandria via LeMat-Bulk).

Lattice parameters (Å, degrees): 4.7331 4.7331 4.7331 60.00 60.00 60.00
Last column: nearest neighbours and their distance in Å.
Atoms (fractional coordinates):
Co (0.2500, 0.2500, 0.2500)  4 La 2.90, 4 Br 2.90
Co (0.7500, 0.7500, 0.7500)  4 La 2.90, 4 Br 2.90
Br (0.0000, 0.0000, 0.0000)  8 Co 2.90
La (0.5000, 0.5000, 0.5000)  8 Co 2.90

Computed properties:
SG: Fm-3m
calculated density: 7.46 g/cm3
size of the total moment: 2.50 μB/cell

---

Energies relative to the most stable structure are 1 84; 2 386; 3 0; 4 597, reported in meV/atom.